Record 1
YCr3Sb after structural relaxation, computed with PBE-GGA.

Calculated values
- raw formation energy (kJ/mol of formula units) = 867.4
- DOS at the Fermi energy (states/eV per atom) = 0.77
- crystal system = cubic

a b c (Å): 4.9901 4.9901 4.9901
angles (deg): 90.00 90.00 90.00
Site moments in Bohr magnetons follow the coordinates.
Fractional positions:
Y1 0.0000 0.0000 0.0000  0.04
Sb1 0.5000 0.5000 0.5000  -0.09
Cr1 0.0000 0.5000 0.0000  3.42
Cr2 0.0000 0.0000 0.5000  3.04
Cr3 0.5000 0.0000 0.0000  3.83

---

Record 2
MgTl4In after structural relaxation, computed with PBE-GGA.

Calculated values
- total DFT energy (no corrections) (eV/atom) = -2.26
- DOS at the Fermi energy (states/eV per atom) = 0.50
- crystal system = orthorhombic

a b c (Å): 6.7386 6.6800 9.5252
angles (deg): 69.47 79.99 60.28
Fractional positions:
Mg1 0.7500 0.6250 0.2499
Mg2 0.2500 0.3750 0.7501
Tl1 0.2549 0.7797 0.4344
Tl2 0.2550 0.9653 0.0655
Tl3 0.7549 0.7140 0.5656
Tl4 0.7550 0.5308 0.9345
Tl5 0.7451 0.2203 0.5656
Tl6 0.2451 0.2860 0.4344
Tl7 0.7450 0.0347 0.9345
Tl8 0.2450 0.4692 0.0655
In1 0.7500 0.1250 0.2501
In2 0.2500 0.8750 0.7499

---

Record 3
Ho2B3C after structural relaxation, computed with PBE-GGA.

Calculated values
- total DFT energy (no corrections) (eV/atom) = -6.89
- DOS at the Fermi energy (states/eV per atom) = 0.19
- crystal system = orthorhombic

a b c (Å): 3.8923 3.1544 5.4656
angles (deg): 90.00 90.00 90.00
Fractional positions:
Ho1 0.0000 0.5000 0.0042
Ho2 0.0000 0.0000 0.4964
B1 0.5000 0.0000 0.8287
B2 0.5000 0.0000 0.1708
B3 0.5000 0.5000 0.6603
C1 0.5000 0.5000 0.3395

---

Record 4
AlIn3Pb after structural relaxation, computed with PBE-GGA.

Calculated values
- total DFT energy (no corrections) (eV/atom) = -2.38
- DOS at the Fermi energy (states/eV per atom) = 0.76
- crystal system = cubic

a b c (Å): 5.8517 5.8517 5.8517
angles (deg): 90.00 90.00 90.00
Fractional positions:
Pb1 0.0000 0.0000 0.0000
Al1 0.5000 0.5000 0.5000
In1 0.0000 0.5000 0.0000
In2 0.0000 0.0000 0.5000
In3 0.5000 0.0000 0.0000

---

Record 5
SrSiTe2 after structural relaxation, computed with PBE-GGA.

Calculated values
- raw formation energy (kJ/mol of formula units) = -179.5
- DOS at the Fermi energy (states/eV per atom) = 0.41
- crystal system = monoclinic

a b c (Å): 3.9647 4.2890 7.6129
angles (deg): 79.92 90.00 90.00
Fractional positions:
Si1 0.5000 0.2500 0.2500
Sr1 0.5000 0.7500 0.7500
Te1 0.0000 0.1789 0.9987
Te2 0.0000 0.3211 0.5013

---

Record 6
CaLa2Br after structural relaxation, computed with PBE-GGA.

Calculated values
- raw formation energy (kJ/mol of formula units) = 2.2
- DOS at the Fermi energy (states/eV per atom) = 1.91
- crystal system = cubic

a b c (Å): 5.7912 5.7912 5.7912
angles (deg): 60.00 60.00 60.00
Site moments in Bohr magnetons follow the coordinates.
Fractional positions:
Ca1 0.7500 0.7500 0.7500  0.03
Br1 0.5000 0.5000 0.5000  0.01
La1 0.0000 0.0000 0.0000  0.23
La2 0.2500 0.2500 0.2500  0.14

---

Record 7
ScGaTe3 after structural relaxation, computed with PBE-GGA.

Calculated values
- raw formation energy (kJ/mol of formula units) = -136.2
- DOS at the Fermi energy (states/eV per atom) = 1.26
- crystal system = cubic

a b c (Å): 5.5933 5.5933 5.5933
angles (deg): 90.00 90.00 90.00
Fractional positions:
Sc1 0.0000 0.0000 0.0000
Te1 0.0000 0.5000 0.0000
Te2 0.0000 0.0000 0.5000
Te3 0.5000 0.0000 0.0000
Ga1 0.5000 0.5000 0.5000

---

Record 8
BaHfGe3 after structural relaxation, computed with PBE-GGA.

Calculated values
- total DFT energy (no corrections) (eV/atom) = -3.53
- DOS at the Fermi energy (states/eV per atom) = 0.57
- crystal system = cubic

a b c (Å): 5.4980 5.4980 5.4980
angles (deg): 90.00 90.00 90.00
Fractional positions:
Ge1 0.0000 0.5000 0.0000
Ge2 0.0000 0.0000 0.5000
Ge3 0.5000 0.0000 0.0000
Hf1 0.5000 0.5000 0.5000
Ba1 0.0000 0.0000 0.0000

---

Record 9
PrSm2ErBi4 after structural relaxation, computed with PBE-GGA.

Calculated values
- total DFT energy (no corrections) (eV/atom) = -5.19
- DOS at the Fermi energy (states/eV per atom) = 0.15
- crystal system = monoclinic

a b c (Å): 4.5560 7.8881 7.8832
angles (deg): 70.52 90.00 90.00
Fractional positions:
Pr1 0.5000 0.5000 0.0000
Sm1 0.0000 0.0000 0.0000
Sm2 0.5000 0.0000 0.5000
Er1 0.0000 0.5000 0.5000
Bi1 0.0000 0.7509 0.7439
Bi2 0.0000 0.2491 0.2561
Bi3 0.5000 0.7466 0.2569
Bi4 0.5000 0.2534 0.7431

---

Record 10
NbGaBr4 after structural relaxation, computed with PBE-GGA.

Calculated values
- raw formation energy (kJ/mol of formula units) = -397.6
- DOS at the Fermi energy (states/eV per atom) = 0.34
- crystal system = monoclinic

a b c (Å): 5.8940 8.7929 8.7929
angles (deg): 73.71 88.66 88.66
Fractional positions:
Nb1 0.7500 0.5643 0.4357
Nb2 0.2500 0.4357 0.5643
Ga1 0.2500 0.0538 0.9462
Ga2 0.7500 0.9462 0.0538
Br1 0.8996 0.5258 0.7149
Br2 0.9034 0.8690 0.3445
Br3 0.6004 0.2851 0.4742
Br4 0.5966 0.6555 0.1310
Br5 0.4034 0.3445 0.8690
Br6 0.3996 0.7149 0.5258
Br7 0.0966 0.1310 0.6555
Br8 0.1004 0.4742 0.2851

---

Record 11
TbHo5Tm2Sc after structural relaxation, computed with PBE-GGA.

Calculated values
- total DFT energy (no corrections) (eV/atom) = -4.58
- DOS at the Fermi energy (states/eV per atom) = 1.71
- crystal system = orthorhombic

a b c (Å): 5.4924 10.2137 10.3055
angles (deg): 90.00 90.00 105.60
Fractional positions:
Tb1 0.5896 0.1791 0.9548
Tb2 0.4104 0.8209 0.4548
Ho1 0.3785 0.7570 0.0214
Ho2 0.7237 0.4473 0.8199
Ho3 0.4813 0.9626 0.7395
Ho4 0.2999 0.5998 0.7056
Ho5 0.9825 0.9649 0.5183
Ho6 0.6215 0.2430 0.5214
Ho7 0.2763 0.5527 0.3199
Ho8 0.5187 0.0374 0.2395
Ho9 0.7001 0.4002 0.2056
Ho10 0.0175 0.0351 0.0183
Tm1 0.8886 0.7772 0.8122
Tm2 0.1135 0.2271 0.7376
Tm3 0.1114 0.2228 0.3122
Tm4 0.8865 0.7729 0.2376
Sc1 0.8045 0.6091 0.5147
Sc2 0.1955 0.3909 0.0147

---

Record 12
DyHfZr2P4 after structural relaxation, computed with PBE-GGA.

Calculated values
- total DFT energy (no corrections) (eV/atom) = -8.03
- DOS at the Fermi energy (states/eV per atom) = 0.37
- crystal system = monoclinic

a b c (Å): 3.7826 6.5697 6.5753
angles (deg): 109.34 90.00 90.00
Fractional positions:
Dy1 0.5000 0.5000 0.0000
Hf1 0.0000 0.0000 0.0000
Zr1 0.5000 0.0000 0.5000
Zr2 0.0000 0.5000 0.5000
P1 0.5000 0.2424 0.2507
P2 0.5000 0.7576 0.7493
P3 0.0000 0.2398 0.7434
P4 0.0000 0.7602 0.2566